(1)
{"formula": "Fe3HOs", "functional": "PBE", "state": "relaxed", "e_tot_ev_per_cell": -30.09, "spacegroup": "Pm-3m, No. 221", "cell": [[-1.380, -1.855, -3.973], [-3.911, -1.362, 1.994], [-1.982, 3.979, -1.169]], "species": ["H", "Fe", "Os", "Fe", "Fe"], "frac_coords": [[0.500, 0.500, 0.500], [0.500, 0.000, 0.000], [0.000, 0.000, 0.000], [0.000, 0.000, 0.500], [0.000, 0.500, 0.000]]}

(2)
{"formula": "FeHOs3", "functional": "PBE", "state": "relaxed", "e_tot_ev_per_cell": -43.84, "spacegroup": "Pm-3m, No. 221", "cell": [[-2.698, -2.350, 1.419], [1.460, -2.913, -2.048], [2.325, -0.897, 2.933]], "species": ["Fe", "Os", "Os", "H", "Os"], "frac_coords": [[0.500, 0.500, 0.500], [0.000, 0.500, 0.000], [0.000, 0.000, 0.500], [0.000, 0.000, 0.000], [0.500, 0.000, 0.000]]}

(3)
{"formula": "FeHOs2", "functional": "PBE", "state": "relaxed", "e_tot_ev_per_cell": -31.38, "spacegroup": "Fm-3m, No. 225", "cell": [[3.975, -0.402, 0.399], [1.565, -1.069, 3.540], [1.613, -3.648, 0.462]], "species": ["Os", "Os", "H", "Fe"], "frac_coords": [[0.250, 0.250, 0.250], [0.750, 0.750, 0.750], [0.000, 0.000, 0.000], [0.500, 0.500, 0.500]]}

(4)
{"formula": "Fe3HOs", "functional": "PBE", "state": "relaxed", "e_tot_ev_per_cell": -39.40, "spacegroup": "Pm-3m, No. 221", "cell": [[-1.388, 3.040, -1.370], [-1.846, 0.535, 3.058], [2.777, 1.875, 1.348]], "species": ["H", "Fe", "Os", "Fe", "Fe"], "frac_coords": [[0.000, 0.000, 0.000], [0.500, 0.000, 0.000], [0.500, 0.500, 0.500], [0.000, 0.000, 0.500], [0.000, 0.500, 0.000]]}

(5)
{"formula": "Fe2H2Os", "functional": "PBE", "state": "relaxed", "e_tot_ev_per_cell": -66.07, "spacegroup": "P4/mbm, No. 127", "cell": [[-3.891, -2.325, 3.321], [3.384, 0.673, 4.435], [-1.060, 2.408, 0.444]], "species": ["Fe", "Fe", "Os", "H", "H", "Os", "H", "H", "Fe", "Fe"], "frac_coords": [[0.134, 0.634, 0.500], [0.634, 0.866, 0.500], [0.000, 0.000, 0.000], [0.280, 0.780, 0.000], [0.220, 0.280, 0.000], [0.500, 0.500, 0.000], [0.780, 0.720, 0.000], [0.720, 0.220, 0.000], [0.866, 0.366, 0.500], [0.366, 0.134, 0.500]]}

(6)
{"formula": "Fe2HOsPb", "functional": "PBE", "state": "relaxed", "e_tot_ev_per_cell": -27.42, "spacegroup": "P4/mmm, No. 123", "cell": [[4.723, 0.000, 0.000], [0.000, 5.252, 0.000], [0.000, 0.000, 4.723]], "species": ["Fe", "Pb", "Fe", "Os", "H"], "frac_coords": [[0.000, 0.000, 0.500], [0.000, 0.500, 0.000], [0.500, 0.000, 0.000], [0.000, 0.000, 0.000], [0.500, 0.500, 0.500]]}